Record 1
The following is a PBE-GGA calculation of a relaxed structure of Li2ErZrTe4, from Alexandria via LeMat-Bulk.

Summary:
- uncorrected energy (eV per atom) = -4.762
- uncorrected formation energy (eV/atom) = -1.074

a = 7.2537 Å, b = 4.1513 Å, c = 7.5009 Å
α = 90.00°, β = 108.54°, γ = 90.00°
Last column: nearest neighbours and their distance in Å.
Fractional coordinates of all 8 atoms:
Li 0.0000 0.0000 0.0000  6 Te 3.01-3.02
Li 0.5000 0.5000 0.0000  6 Te 2.95
Er 0.0000 0.5000 0.5000  6 Te 3.04
Zr 0.5000 0.0000 0.5000  6 Te 2.97
Te 0.2573 0.5000 0.2493  3 Li 2.95-3.01, 2 Zr 2.97, 1 Er 3.04
Te 0.2596 0.0000 0.7552  3 Li 2.95-3.02, 1 Zr 2.97, 2 Er 3.04
Te 0.7404 0.0000 0.2448  3 Li 2.95-3.02, 1 Zr 2.97, 2 Er 3.04
Te 0.7427 0.5000 0.7507  3 Li 2.95-3.01, 2 Zr 2.97, 1 Er 3.04


Record 2
The following is a PBE-GGA calculation of a relaxed structure of MgGePd, from Alexandria via LeMat-Bulk.

Summary:
- calculated formation energy (meV per atom) = -437
- uncorrected energy (eV per atom) = -4.239

a = 6.4354 Å, b = 4.8598 Å, c = 5.4487 Å
α = 77.02°, β = 47.38°, γ = 55.59°
Last column: nearest neighbours and their distance in Å.
Fractional coordinates of all 6 atoms:
Mg 0.0000 0.0000 0.0000  5 Ge 2.79-2.85, 5 Pd 2.81
Mg 0.2500 0.2500 0.2500  5 Ge 2.79-2.85, 5 Pd 2.81
Ge 0.6611 0.6611 0.3389  5 Pd 2.75-2.84, 5 Mg 2.79-2.85
Ge 0.9111 0.9111 0.5889  5 Pd 2.75-2.84, 5 Mg 2.79-2.85
Pd 0.3340 0.3340 0.6660  5 Ge 2.75-2.84, 5 Mg 2.81
Pd 0.5840 0.5840 0.9160  5 Ge 2.75-2.84, 5 Mg 2.81


Record 3
The following is a PBE-GGA calculation of a relaxed structure of InSnF, from Alexandria via LeMat-Bulk.

Summary:
- uncorrected energy (eV per atom) = -3.768
- uncorrected formation energy (eV/atom) = -0.897

a = 3.3486 Å, b = 3.3486 Å, c = 6.8660 Å
α = 90.00°, β = 90.00°, γ = 120.00°
Last column: nearest neighbours and their distance in Å.
Fractional coordinates of all 3 atoms:
In 0.0000 0.0000 0.0000  3 F 2.44
Sn 0.6667 0.3333 0.3956  3 F 3.29, 3 In 3.33, 6 Sn 3.35
F 0.3333 0.6667 0.7833  3 In 2.44